Material: InSiW
Method: DFT, PBE
State: optimized geometry

Lattice parameters (Å, degrees): 6.8654 6.8654 6.8654 155.87 155.87 34.39
With the nearest neighbours (Å) after each atom.
Fractional positions:
W 0.6794 0.6794 0.0000  4 Si 2.69, 4 W 2.87
In 0.0069 0.0069 0.0000  4 In 2.87, 4 W 3.04
Si 0.3137 0.3137 0.0000  4 W 2.69, 4 Si 2.87

Properties
* space-group type: I4mm, No. 107
* total magnetization: 0.0 μB per cell
* uncorrected energy: -6.473 eV per atom
* ΔE_f (raw): 565 meV per atom

Material: MoHS2
Method: DFT, PBE
State: optimized geometry

Lattice parameters (Å, degrees): 4.1936 4.1936 4.1936 60.00 60.00 60.00
With the nearest neighbours (Å) after each atom.
Fractional positions:
S 0.7500 0.7500 0.7500  4 Mo 2.57, 4 H 2.57
S 0.2500 0.2500 0.2500  4 Mo 2.57, 4 H 2.57
H 0.0000 0.0000 0.0000  8 S 2.57
Mo 0.5000 0.5000 0.5000  8 S 2.57

Properties
* space-group type: Fm-3m, No. 225
* total magnetization: 1.3 μB per cell
* uncorrected energy: -5.236 eV per atom
* energy relative to the lowest polymorph listed for this composition: 865 meV per atom

Material: KCI2O
Method: DFT, PBE
State: optimized geometry

Lattice parameters (Å, degrees): 6.3664 6.3664 3.2084 90.00 90.00 90.00
With the nearest neighbours (Å) after each atom.
Fractional positions:
C 0.0000 0.0000 0.0000  2 O 1.60
K 0.5000 0.5000 0.5000  2 K 3.21, 8 I 3.56
I 0.5000 0.0000 0.0000  2 C 3.18, 2 I 3.21, 4 K 3.56, 4 O 3.56
O 0.0000 0.0000 0.5000  2 C 1.60
I 0.0000 0.5000 0.0000  2 C 3.18, 2 I 3.21, 4 K 3.56, 4 O 3.56

Properties
* space-group type: P4/mmm, No. 123
* total magnetization: 0.0 μB per cell
* uncorrected energy: -3.245 eV per atom
* energy relative to the lowest polymorph listed for this composition: 0 meV per atom
* ΔE_f (raw): 431 meV per atom

Material: HfZrV2
Method: DFT, PBE
State: optimized geometry

Lattice parameters (Å, degrees): 7.2052 7.2052 5.8361 51.88 51.88 90.00
With the nearest neighbours (Å) after each atom.
Fractional positions:
V 0.3750 0.3759 0.7500  2 Zr 2.64, 2 Hf 2.65, 2 V 2.85
Zr 0.5000 0.5000 0.0000  4 V 2.64, 2 Hf 2.85
V 0.6241 0.1250 0.2500  2 Zr 2.64, 2 Hf 2.65, 2 V 2.85
Zr 0.2500 0.7500 0.5000  4 V 2.64, 2 Hf 2.85
V 0.8750 0.8741 0.7500  2 Zr 2.64, 2 Hf 2.65, 2 V 2.85
V 0.1259 0.6250 0.2500  2 Zr 2.64, 2 Hf 2.65, 2 V 2.85
Hf 0.7500 0.2500 0.5000  4 V 2.65, 2 Zr 2.85
Hf 0.0000 0.0000 0.0000  4 V 2.65, 2 Zr 2.85

Properties
* space-group type: I-42d, No. 122
* total magnetization: 0.0 μB per cell
* uncorrected energy: -8.518 eV per atom
* energy of formation: 0.666 eV/atom
* energy relative to the lowest polymorph listed for this composition: 486 meV per atom